*A*
ZrAlCd2: relaxed, PBEsol.

abc: 3.114 3.114 8.021
angles: 90.00 90.00 90.00
Sites, in units of the cell vectors:
1 Zr 0.000 0.000 0.000
2 Al 0.500 0.500 0.231
3 Cd 0.000 0.000 0.469
4 Cd 0.500 0.500 0.725

Values from the calculation:
**V**: 19.44 Å³/atom
**Space group**: P4mm (99)
**Density**: 7325 kg/m³

***

*B*
ZrAlCd2: relaxed, PBEsol.

abc: 5.261 2.924 5.510
angles: 90.00 110.94 90.00
Sites, in units of the cell vectors:
1 Zr 0.000 0.000 0.000
2 Al 0.500 0.500 0.000
3 Cd 0.000 0.500 0.500
4 Cd 0.500 0.000 0.500

Values from the calculation:
**V**: 19.79 Å³/atom
**Space group**: P2/m (10)
**Density**: 7195 kg/m³

***

*C*
ZrAlCd2: relaxed, PBEsol.

abc: 4.169 4.169 4.409
angles: 90.00 90.00 90.00
Sites, in units of the cell vectors:
1 Zr 0.000 0.000 0.000
2 Al 0.500 0.500 0.000
3 Cd 0.000 0.500 0.500
4 Cd 0.500 0.000 0.500

Values from the calculation:
**V**: 19.16 Å³/atom
**Space group**: P4/mmm (123)
**Density**: 7433 kg/m³

***

Which one is most stable, and which one is least stable? *C* is the most stable of them, while *B* is the least stable.